{"formula": "EuH2Ir", "functional": "PBE-GGA", "state": "optimized geometry", "polymorph_energy_mev_per_atom": 0, "crystal_system": "trigonal", "volume_a3_per_atom": 12.29, "lattice": [[3.5729, 0.0000, 0.0000], [-1.7865, 3.0943, 0.0000], [0.0000, 0.0000, 13.3430]], "species": ["Eu", "Eu", "Eu", "H", "H", "H", "H", "H", "H", "Ir", "Ir", "Ir"], "frac_coords": [[0.0000, 0.0000, 0.0000], [0.3333, 0.6667, 0.6667], [0.6667, 0.3333, 0.3333], [0.0000, 0.0000, 0.1960], [0.0000, 0.0000, 0.8040], [0.3333, 0.6667, 0.4706], [0.3333, 0.6667, 0.8627], [0.6667, 0.3333, 0.1373], [0.6667, 0.3333, 0.5294], [0.0000, 0.0000, 0.5000], [0.3333, 0.6667, 0.1667], [0.6667, 0.3333, 0.8333]]}

***

{"formula": "Tb2HoIO8", "functional": "PBE-GGA", "state": "optimized geometry", "formation_energy_uncorrected_ev_per_atom": -2.3450, "crystal_system": "orthorhombic", "volume_a3_per_atom": 14.48, "lattice": [[3.5365, -3.5946, 0.0000], [3.5365, 3.5946, 0.0000], [0.0000, 0.0000, 6.8324]], "species": ["Tb", "Tb", "Ho", "I", "O", "O", "O", "O", "O", "O", "O", "O"], "frac_coords": [[0.0000, 0.0000, 0.2485], [0.0000, 0.0000, 0.7515], [0.5000, 0.5000, 0.0000], [0.5000, 0.5000, 0.5000], [0.1931, 0.1931, 0.0000], [0.2321, 0.2321, 0.5000], [0.3205, 0.6795, 0.2916], [0.3205, 0.6795, 0.7084], [0.6795, 0.3205, 0.2916], [0.6795, 0.3205, 0.7084], [0.7679, 0.7679, 0.5000], [0.8069, 0.8069, 0.0000]]}

***

{"formula": "Nd5DyY2", "functional": "PBE-GGA", "state": "optimized geometry", "crystal_system": "orthorhombic", "volume_a3_per_atom": 33.98, "formation_energy_mev_per_atom": 14, "lattice": [[7.2694, 0.0000, 0.0000], [0.0000, 14.5434, 0.0000], [0.0000, 0.0000, 5.1431]], "species": ["Nd", "Nd", "Nd", "Nd", "Nd", "Nd", "Nd", "Nd", "Nd", "Nd", "Dy", "Dy", "Y", "Y", "Y", "Y"], "frac_coords": [[0.0000, 0.0000, 0.0000], [0.9999, 0.2512, 0.0000], [0.0001, 0.7488, 0.0000], [0.2488, 0.3758, 0.5000], [0.2512, 0.8758, 0.5000], [0.4999, 0.2488, 0.0000], [0.5000, 0.5000, 0.0000], [0.5001, 0.7512, 0.0000], [0.7488, 0.1242, 0.5000], [0.7512, 0.6242, 0.5000], [0.0000, 0.5000, 0.0000], [0.5000, 0.0000, 0.0000], [0.2503, 0.1239, 0.5000], [0.2497, 0.6239, 0.5000], [0.7503, 0.3761, 0.5000], [0.7497, 0.8761, 0.5000]]}

***

{"formula": "Ba2CaTc", "functional": "PBE-GGA", "state": "optimized geometry", "polymorph_energy_mev_per_atom": 25, "crystal_system": "orthorhombic", "volume_a3_per_atom": 38.46, "formation_energy_mev_per_atom": 626, "lattice": [[3.7428, 0.0000, 0.0000], [0.0000, 6.1133, 0.0000], [0.0000, 0.0000, 13.4463]], "species": ["Ba", "Ba", "Ba", "Ba", "Ca", "Ca", "Tc", "Tc"], "frac_coords": [[0.0000, 0.0000, 0.0000], [0.0000, 0.5000, 0.1820], [0.5000, 0.0000, 0.6820], [0.5000, 0.5000, 0.5000], [0.0000, 0.5000, 0.8301], [0.5000, 0.0000, 0.3301], [0.0000, 0.0000, 0.5016], [0.5000, 0.5000, 0.0016]]}

***

{"formula": "LiMg2Zn", "functional": "PBE-GGA", "state": "optimized geometry", "crystal_system": "trigonal", "volume_a3_per_atom": 20.74, "formation_energy_mev_per_atom": 12, "lattice": [[3.2319, 0.0000, 0.0000], [-1.6159, 2.7989, 0.0000], [0.0000, 0.0000, 27.5197]], "species": ["Li", "Li", "Li", "Mg", "Mg", "Mg", "Mg", "Mg", "Mg", "Zn", "Zn", "Zn"], "frac_coords": [[0.0000, 0.0000, 0.0000], [0.3333, 0.6667, 0.6667], [0.6667, 0.3333, 0.3333], [0.0000, 0.0000, 0.2428], [0.0000, 0.0000, 0.7572], [0.3333, 0.6667, 0.4239], [0.3333, 0.6667, 0.9094], [0.6667, 0.3333, 0.0906], [0.6667, 0.3333, 0.5761], [0.0000, 0.0000, 0.5000], [0.3333, 0.6667, 0.1667], [0.6667, 0.3333, 0.8333]]}

***

{"formula": "CoPdRh2", "functional": "PBE-GGA", "state": "optimized geometry", "polymorph_energy_mev_per_atom": 426, "crystal_system": "tetragonal", "volume_a3_per_atom": 15.10, "formation_energy_mev_per_atom": 470, "lattice": [[6.8350, 0.0000, 0.0000], [0.0000, 6.8350, 0.0000], [0.0000, 0.0000, 5.1722]], "species": ["Co", "Co", "Co", "Co", "Pd", "Pd", "Pd", "Pd", "Rh", "Rh", "Rh", "Rh", "Rh", "Rh", "Rh", "Rh"], "frac_coords": [[0.0000, 0.0000, 0.0000], [0.0000, 0.5000, 0.2500], [0.5000, 0.0000, 0.7500], [0.5000, 0.5000, 0.5000], [0.0000, 0.0000, 0.5000], [0.0000, 0.5000, 0.7500], [0.5000, 0.0000, 0.2500], [0.5000, 0.5000, 0.0000], [0.2096, 0.2500, 0.1250], [0.2500, 0.7096, 0.3750], [0.2500, 0.7904, 0.8750], [0.2904, 0.2500, 0.6250], [0.7096, 0.7500, 0.6250], [0.7500, 0.2096, 0.8750], [0.7500, 0.2904, 0.3750], [0.7904, 0.7500, 0.1250]]}

***

{"formula": "Be2AgTe", "functional": "PBE-GGA", "state": "optimized geometry", "formation_energy_uncorrected_ev_per_atom": 0.6624, "crystal_system": "orthorhombic", "volume_a3_per_atom": 16.71, "lattice": [[3.6673, 0.0000, 0.0000], [0.0000, 4.9261, 0.0000], [0.0000, 0.0000, 7.4005]], "species": ["Be", "Be", "Be", "Be", "Ag", "Ag", "Te", "Te"], "frac_coords": [[0.0000, 0.0000, 0.2420], [0.0000, 0.0000, 0.7580], [0.5000, 0.5000, 0.2580], [0.5000, 0.5000, 0.7420], [0.0000, 0.5000, 0.5000], [0.5000, 0.0000, 0.0000], [0.0000, 0.5000, 0.0000], [0.5000, 0.0000, 0.5000]]}

***

{"formula": "Tm2SbRh3", "functional": "PBE-GGA", "state": "optimized geometry", "formation_energy_uncorrected_ev_per_atom": -0.8638, "crystal_system": "trigonal", "volume_a3_per_atom": 18.91, "lattice": [[2.8257, 1.6314, 4.1014], [-2.8257, 1.6314, 4.1014], [0.0000, -3.2628, 4.1014]], "species": ["Tm", "Tm", "Sb", "Rh", "Rh", "Rh"], "frac_coords": [[0.1286, 0.1286, 0.1286], [0.8714, 0.8714, 0.8714], [0.5000, 0.5000, 0.5000], [0.0000, 0.5000, 0.5000], [0.5000, 0.0000, 0.5000], [0.5000, 0.5000, 0.0000]]}

***

{"formula": "Dy2Ho13", "functional": "PBE-GGA", "state": "optimized geometry", "polymorph_energy_mev_per_atom": 0, "crystal_system": "triclinic", "volume_a3_per_atom": 30.94, "formation_energy_mev_per_atom": 52, "lattice": [[6.5446, 0.0000, 0.0000], [1.3945, 8.5398, 0.0000], [0.9376, 3.0546, 8.3044]], "species": ["Dy", "Dy", "Ho", "Ho", "Ho", "Ho", "Ho", "Ho", "Ho", "Ho", "Ho", "Ho", "Ho", "Ho", "Ho"], "frac_coords": [[0.1990, 0.3037, 0.3982], [0.8010, 0.6963, 0.6018], [0.0000, 0.5000, 0.0000], [0.0960, 0.9248, 0.6921], [0.1336, 0.6963, 0.2673], [0.2376, 0.0757, 0.9752], [0.3336, 0.4996, 0.6670], [0.4293, 0.9234, 0.3589], [0.4668, 0.6965, 0.9343], [0.5332, 0.3035, 0.0657], [0.5707, 0.0766, 0.6411], [0.6664, 0.5004, 0.3330], [0.7624, 0.9243, 0.0248], [0.8664, 0.3037, 0.7327], [0.9040, 0.0752, 0.3079]]}

***

{"formula": "TaTcTe4", "functional": "PBE-GGA", "state": "optimized geometry", "polymorph_energy_mev_per_atom": 0, "formation_energy_uncorrected_ev_per_atom": -0.3090, "crystal_system": "monoclinic", "volume_a3_per_atom": 26.95, "lattice": [[14.7676, 0.0000, 0.0000], [0.0000, 3.6191, 0.0000], [-2.0585, 0.0000, 6.0504]], "species": ["Ta", "Ta", "Tc", "Tc", "Te", "Te", "Te", "Te", "Te", "Te", "Te", "Te"], "frac_coords": [[0.0000, 0.0000, 0.0000], [0.5000, 0.5000, 0.0000], [0.0156, 0.5000, 0.3727], [0.5156, 0.0000, 0.3727], [0.1093, 0.5000, 0.8300], [0.1533, 0.0000, 0.3794], [0.3589, 0.0000, 0.0000], [0.4082, 0.5000, 0.5264], [0.6093, 0.0000, 0.8300], [0.6533, 0.5000, 0.3794], [0.8589, 0.5000, 0.0000], [0.9082, 0.0000, 0.5264]]}

***

{"formula": "Pm4Nd7Dy", "functional": "PBE-GGA", "state": "optimized geometry", "polymorph_energy_mev_per_atom": 0, "crystal_system": "triclinic", "volume_a3_per_atom": 34.77, "formation_energy_mev_per_atom": 11, "lattice": [[6.3797, 0.0000, 0.0000], [0.0014, 7.3737, 0.0000], [2.1310, 0.0067, 8.8684]], "species": ["Pm", "Pm", "Pm", "Pm", "Nd", "Nd", "Nd", "Nd", "Nd", "Nd", "Nd", "Dy"], "frac_coords": [[0.2232, 0.0001, 0.3331], [0.2772, 0.7494, 0.6693], [0.7228, 0.2506, 0.3307], [0.7768, 0.9999, 0.6669], [0.0000, 0.0000, 0.0000], [0.2217, 0.5001, 0.3326], [0.2776, 0.2502, 0.6689], [0.5002, 0.2507, 0.0002], [0.4998, 0.7493, 0.9998], [0.7224, 0.7498, 0.3311], [0.7783, 0.4999, 0.6674], [0.0000, 0.5000, 0.0000]]}

***

{"formula": "Pr2AlSn", "functional": "PBE-GGA", "state": "optimized geometry", "crystal_system": "trigonal", "volume_a3_per_atom": 31.59, "formation_energy_mev_per_atom": -29, "lattice": [[3.6162, 0.0000, 0.0000], [-1.8081, 3.1318, 0.0000], [0.0000, 0.0000, 33.4712]], "species": ["Pr", "Pr", "Pr", "Pr", "Pr", "Pr", "Al", "Al", "Al", "Sn", "Sn", "Sn"], "frac_coords": [[0.0000, 0.0000, 0.0970], [0.0000, 0.0000, 0.9030], [0.3333, 0.6667, 0.5697], [0.3333, 0.6667, 0.7637], [0.6667, 0.3333, 0.2363], [0.6667, 0.3333, 0.4303], [0.0000, 0.0000, 0.5000], [0.3333, 0.6667, 0.1667], [0.6667, 0.3333, 0.8333], [0.0000, 0.0000, 0.0000], [0.3333, 0.6667, 0.6667], [0.6667, 0.3333, 0.3333]]}

***

{"formula": "CsBaZn3", "functional": "PBE-GGA", "state": "optimized geometry", "crystal_system": "cubic", "volume_a3_per_atom": 45.86, "formation_energy_mev_per_atom": 561, "lattice": [[6.1207, 0.0000, 0.0000], [0.0000, 6.1207, 0.0000], [0.0000, 0.0000, 6.1207]], "species": ["Cs", "Ba", "Zn", "Zn", "Zn"], "frac_coords": [[0.0000, 0.0000, 0.0000], [0.5000, 0.5000, 0.5000], [0.0000, 0.0000, 0.5000], [0.0000, 0.5000, 0.0000], [0.5000, 0.0000, 0.0000]]}